PBE ScGeIrRu, optimized geometry; energy of formation from the pure elements = -0.67 eV/atom; magnetic moment = 0.00 Bohr magnetons per cell; SG = F-43m, No. 216
1.0
-2.517 3.592 -0.389
-2.252 0.719 -3.716
-4.388 -0.378 -0.023
Sc Ru Ge Ir
1 1 1 1
Cartesian
-6.868 2.950 -3.096
-4.579 1.967 -2.064
-2.289 0.983 -1.032
0.000 0.000 0.000

=====

PBE CeNbSb2, optimized geometry; magnetic moment = 1.70 Bohr magnetons per cell; uncorrected formation energy = -0.39 eV/atom; energy above the lowest structure with this stoichiometry = 0.026 eV/atom; SG = Pm, No. 6
1.0
3.655 -0.001 0.003
0.002 3.720 -0.532
-1.835 -2.673 7.813
Ce Nb Sb
1 1 2
Cartesian
0.389 2.890 1.225
0.391 -0.330 5.209
2.219 1.351 3.700
0.381 -1.900 7.513

=====

PBE Mg2Ga8Ni, optimized geometry; energy of formation from the pure elements = -0.15 eV/atom; magnetic moment = 0.00 Bohr magnetons per cell; SG = P4/mmm, No. 123
1.0
-1.300 -1.626 3.714
-3.555 -1.418 -1.866
4.889 -9.203 -2.319
Mg Ga Ni
2 8 1
Cartesian
1.517 -2.856 -0.720
3.372 -6.347 -1.599
0.667 -5.311 -2.092
1.794 -5.415 0.698
-0.916 -4.368 0.207
0.950 -7.880 -0.678
-1.170 -1.852 -1.221
-0.043 -1.956 1.569
2.504 -8.769 -2.964
3.631 -8.873 -0.174
0.000 0.000 0.000

=====

PBE BaLiB3, optimized geometry; energy of formation from the pure elements = 2.57 eV/atom; magnetic moment = 0.00 Bohr magnetons per cell; energy above the lowest structure with this stoichiometry = 1.012 eV/atom; SG = Pm-3m, No. 221
1.0
5.102 0.000 0.000
0.000 5.102 0.000
0.000 0.000 5.102
B Ba Li
3 1 1
Cartesian
0.000 2.551 0.000
0.000 0.000 2.551
2.551 0.000 0.000
0.000 0.000 0.000
2.551 2.551 2.551

=====

PBE PuGe2Ru, optimized geometry; energy of formation from the pure elements = -0.34 eV/atom; magnetic moment = 5.89 Bohr magnetons per cell; energy above the lowest structure with this stoichiometry = 0.046 eV/atom; SG = P4/mmm, No. 123
1.0
3.116 0.000 0.000
0.000 3.116 0.000
0.000 0.000 7.238
Ru Ge Pu
1 2 1
Cartesian
1.558 1.558 0.000
0.000 0.000 5.762
0.000 0.000 1.476
1.558 1.558 3.619

=====

PBE LaPaTeN2, optimized geometry; magnetic moment = 0.00 Bohr magnetons per cell; uncorrected formation energy = -1.72 eV/atom; SG = I4mm, No. 107
1.0
4.030 0.000 0.000
0.000 4.030 0.000
-2.015 -2.015 6.524
La Pa Te N
1 1 1 2
Cartesian
2.015 2.015 4.496
0.000 0.000 2.193
2.015 2.015 0.113
2.015 0.000 3.123
0.000 2.015 3.123

=====

PBE Ti6Sn5, optimized geometry; energy of formation from the pure elements = -0.37 eV/atom; magnetic moment = 0.00 Bohr magnetons per cell; energy above the lowest structure with this stoichiometry = 0.000 eV/atom; SG = P6_3/mmc, No. 194
1.0
-1.112 -1.265 9.141
2.590 -7.113 -5.395
5.481 1.349 0.854
Ti Sn
12 10
Cartesian
4.951 -4.938 4.645
3.380 -5.859 -2.903
2.791 -6.529 1.940
4.168 -0.500 2.660
3.579 -1.170 7.503
2.008 -2.091 -0.045
2.185 0.042 4.997
0.739 -4.189 1.873
1.295 -3.556 -2.697
4.036 -2.882 -2.271
-0.556 -0.632 4.571
3.479 -3.514 2.300
4.943 -2.155 0.303
1.015 -2.123 6.383
1.445 -1.634 2.848
5.514 -5.395 1.752
5.944 -4.906 -1.783
2.016 -4.873 4.297
4.233 -2.203 4.936
2.726 -4.826 -0.336
2.741 0.674 0.427
0.000 0.000 0.000

=====

PBE BaSeN3, optimized geometry; magnetic moment = 0.98 Bohr magnetons per cell; uncorrected formation energy = 0.67 eV/atom; SG = Cm, No. 8
1.0
-7.368 1.226 -5.890
-8.207 -4.041 -2.606
2.714 1.608 3.272
Ba Se N
1 1 3
Cartesian
-10.256 -1.155 -4.474
-3.866 -0.377 -1.592
-4.868 -1.510 -0.804
-4.466 1.014 -2.378
-2.203 -0.369 -1.155

=====

magnetic moment of number 6 (LaPaTeN2)? 0.00 Bohr magnetons per cell